Record 1
Entry from Alexandria via LeMat-Bulk: a relaxed structure of BeRuCl4 (PBE).

a b c (Å): 8.1250 8.1250 8.1250
angles (deg): 90.00 90.00 90.00
Space group F-43m (No. 216)
One atom of each set of equivalent atoms:
Be (0.0000, 0.0000, 0.0000) (multiplicity 4)
Ru (0.2500, 0.2500, 0.2500) (multiplicity 4)
Cl (0.1249, 0.1249, 0.6249) (multiplicity 16)

Computed properties:
For the total energy, the calculation gives -47.51 eV per cell. The value obtained for the raw formation energy is 1419 meV/atom. The calculation puts the calculated density at 3.1 g cm⁻³.


Record 2
Entry from Alexandria via LeMat-Bulk: a relaxed structure of BeRu2Cl (PBE).

a b c (Å): 2.8236 2.8602 7.0688
angles (deg): 90.00 90.00 90.00
Space group Pmm2 (No. 25)
One atom of each set of equivalent atoms:
Be (0.0000, 0.0000, 0.0000) (multiplicity 1)
Ru (0.0000, 0.0000, 0.5530) (multiplicity 1)
Ru (0.5000, 0.5000, 0.7813) (multiplicity 1)
Cl (0.5000, 0.0000, 0.2456) (multiplicity 1)

Computed properties:
For the total energy, the calculation gives -23.65 eV per cell. The value obtained for the raw formation energy is 118 meV/atom. The calculation puts the calculated density at 7.2 g cm⁻³.


Record 3
Entry from Alexandria via LeMat-Bulk: a relaxed structure of BeRuCl (PBE).

a b c (Å): 2.8860 2.8860 11.8644
angles (deg): 90.00 90.00 90.00
Space group I4mm (No. 107)
One atom of each set of equivalent atoms:
Be (0.0000, 0.0000, 0.0000) (multiplicity 2)
Ru (0.0000, 0.0000, 0.4043) (multiplicity 2)
Cl (0.0000, 0.0000, 0.7603) (multiplicity 2)

Computed properties:
For the total energy, the calculation gives -27.63 eV per cell. The value obtained for the raw formation energy is 345 meV/atom. The calculation puts the calculated density at 4.9 g cm⁻³.


Record 4
Entry from Alexandria via LeMat-Bulk: a relaxed structure of BeRu2Cl (PBE).

a b c (Å): 5.1671 5.1671 9.8190
angles (deg): 90.00 90.00 90.00
Space group I-42d (No. 122)
One atom of each set of equivalent atoms:
Be (0.0000, 0.0000, 0.0000) (multiplicity 4)
Ru (0.2334, 0.2500, 0.1250) (multiplicity 8)
Cl (0.0000, 0.0000, 0.5000) (multiplicity 4)

Computed properties:
For the total energy, the calculation gives -82.19 eV per cell. The value obtained for the raw formation energy is 894 meV/atom. The calculation puts the calculated density at 6.2 g cm⁻³.


Record 5
Entry from Alexandria via LeMat-Bulk: a relaxed structure of BeRu2Cl (PBE).

a b c (Å): 2.8313 4.1075 9.0561
angles (deg): 90.00 90.00 90.00
Space group Imm2 (No. 44)
One atom of each set of equivalent atoms:
Be (0.0000, 0.0000, 0.0000) (multiplicity 2)
Ru (0.0000, 0.0000, 0.4959) (multiplicity 2)
Ru (0.0000, 0.5000, 0.2558) (multiplicity 2)
Cl (0.0000, 0.5000, 0.7730) (multiplicity 2)

Computed properties:
For the total energy, the calculation gives -43.60 eV per cell. The value obtained for the raw formation energy is 581 meV/atom. The calculation puts the calculated density at 7.8 g cm⁻³.


Record 6
Entry from Alexandria via LeMat-Bulk: a relaxed structure of BeRu2Cl (PBE).

a b c (Å): 2.8457 4.8970 8.8987
angles (deg): 90.00 90.00 90.00
Space group Cmm2 (No. 35)
One atom of each set of equivalent atoms:
Be (0.0000, 0.0000, 0.0000) (multiplicity 2)
Ru (0.0000, 0.0000, 0.5446) (multiplicity 2)
Ru (0.0000, 0.5000, 0.7821) (multiplicity 2)
Cl (0.0000, 0.5000, 0.1586) (multiplicity 2)

Computed properties:
For the total energy, the calculation gives -45.42 eV per cell. The value obtained for the raw formation energy is 354 meV/atom. The calculation puts the calculated density at 6.6 g cm⁻³.


Record 7
Entry from Alexandria via LeMat-Bulk: a relaxed structure of BeRu2Cl (PBE).

a b c (Å): 2.8815 2.8815 21.9201
angles (deg): 90.00 90.00 120.00
Space group R-3m (No. 166, hexagonal axes)
One atom of each set of equivalent atoms:
Be (0.0000, 0.0000, 0.0000) (multiplicity 3)
Ru (0.0000, 0.0000, 0.2586) (multiplicity 6)
Cl (0.0000, 0.0000, 0.5000) (multiplicity 3)

Computed properties:
For the total energy, the calculation gives -67.67 eV per cell. The value obtained for the raw formation energy is 392 meV/atom. The calculation puts the calculated density at 7.8 g cm⁻³.


Record 8
Entry from Alexandria via LeMat-Bulk: a relaxed structure of BeRu2Cl (PBE).

a b c (Å): 9.5421 2.8662 3.9734
angles (deg): 90.00 106.22 90.00
Space group Cm (No. 8)
One atom of each set of equivalent atoms:
Be (0.0000, 0.0000, 0.0000) (multiplicity 2)
Ru (0.2126, 0.5000, 0.0981) (multiplicity 2)
Ru (0.4732, 0.0000, 0.4689) (multiplicity 2)
Cl (0.2605, 0.0000, 0.6235) (multiplicity 2)

Computed properties:
For the total energy, the calculation gives -44.35 eV per cell. The value obtained for the raw formation energy is 488 meV/atom. The calculation puts the calculated density at 7.8 g cm⁻³.


Record 9
Entry from Alexandria via LeMat-Bulk: a relaxed structure of BeRu2Cl (PBE).

a b c (Å): 6.0587 6.0587 6.0587
angles (deg): 90.00 90.00 90.00
Space group F-43m (No. 216)
One atom of each set of equivalent atoms:
Be (0.0000, 0.0000, 0.0000) (multiplicity 4)
Ru (0.0000, 0.0000, 0.5000) (multiplicity 4)
Ru (0.2500, 0.2500, 0.2500) (multiplicity 4)
Cl (0.2500, 0.2500, 0.7500) (multiplicity 4)

Computed properties:
For the total energy, the calculation gives -81.84 eV per cell. The value obtained for the raw formation energy is 916 meV/atom. The calculation puts the calculated density at 7.4 g cm⁻³.


Record 10
Entry from Alexandria via LeMat-Bulk: a relaxed structure of BeRu2Cl (PBE).

a b c (Å): 7.8019 2.8470 4.9528
angles (deg): 90.00 103.57 90.00
Space group C2/m (No. 12)
One atom of each set of equivalent atoms:
Be (0.0000, 0.0000, 0.0000) (multiplicity 2)
Ru (0.2319, 0.5000, 0.2141) (multiplicity 4)
Cl (0.0000, 0.5000, 0.5000) (multiplicity 2)

Computed properties:
For the total energy, the calculation gives -44.60 eV per cell. The value obtained for the raw formation energy is 457 meV/atom. The calculation puts the calculated density at 7.7 g cm⁻³.


Record 11
Entry from Alexandria via LeMat-Bulk: a relaxed structure of BeRu2Cl (PBE).

a b c (Å): 2.9199 4.8796 7.6300
angles (deg): 90.00 90.00 90.00
Space group Cmmm (No. 65)
One atom of each set of equivalent atoms:
Be (0.0000, 0.0000, 0.0000) (multiplicity 2)
Ru (0.0000, 0.5000, 0.2191) (multiplicity 4)
Cl (0.0000, 0.0000, 0.5000) (multiplicity 2)

Computed properties:
For the total energy, the calculation gives -44.37 eV per cell. The value obtained for the raw formation energy is 484 meV/atom. The calculation puts the calculated density at 7.5 g cm⁻³.


Record 12
Entry from Alexandria via LeMat-Bulk: a relaxed structure of BeRuCl (PBE).

a b c (Å): 2.8956 5.0889 12.1654
angles (deg): 90.00 90.00 90.00
Space group Fmm2 (No. 42)
One atom of each set of equivalent atoms:
Be (0.0000, 0.0000, 0.0000) (multiplicity 4)
Ru (0.0000, 0.0000, 0.3490) (multiplicity 4)
Cl (0.0000, 0.0000, 0.6198) (multiplicity 4)

Computed properties:
For the total energy, the calculation gives -55.93 eV per cell. The value obtained for the raw formation energy is 289 meV/atom. The calculation puts the calculated density at 5.4 g cm⁻³.